No. 1
The following is a PBE calculation of an optimized crystal structure of CaLa2Br, from the Alexandria database.

Lattice parameters (Å, degrees): 8.240 8.240 8.240 90.00 90.00 90.00
Fractional coordinates of all 16 atoms:
Ca: 0.000 0.000 0.000
Ca: 0.000 0.500 0.500
Ca: 0.500 0.000 0.500
Ca: 0.500 0.500 0.000
La: 0.250 0.250 0.250
La: 0.250 0.250 0.750
La: 0.250 0.750 0.250
La: 0.250 0.750 0.750
La: 0.750 0.250 0.250
La: 0.750 0.250 0.750
La: 0.750 0.750 0.250
La: 0.750 0.750 0.750
Br: 0.000 0.000 0.500
Br: 0.000 0.500 0.000
Br: 0.500 0.000 0.000
Br: 0.500 0.500 0.500

Properties
The calculation puts the uncorrected energy at -55.35 eV/cell. The value obtained for the density of states at the Fermi level is 33.36 states/eV per cell.



No. 2
The following is a PBE calculation of an optimized crystal structure of Fe2TcNi, from the Alexandria database.

Lattice parameters (Å, degrees): 2.496 4.204 4.722 90.00 96.66 90.00
Fractional coordinates of all 4 atoms:
Fe: 0.235 0.000 0.254
Fe: 0.765 0.000 0.746
Tc: 0.500 0.500 0.000
Ni: 0.000 0.500 0.500

Properties
The value obtained for the density of states at the Fermi level is 4.44 states/eV per cell. As for the energy of formation: 0.12 eV per atom.



No. 3
The following is a PBE calculation of an optimized crystal structure of Na2Li2PrSb2, from the Alexandria database.

Lattice parameters (Å, degrees): 9.501 9.501 9.501 28.95 28.95 28.95
Fractional coordinates of all 7 atoms:
Na: 0.136 0.136 0.136
Na: 0.864 0.864 0.864
Li: 0.411 0.411 0.411
Li: 0.589 0.589 0.589
Pr: 0.000 0.000 0.000
Sb: 0.262 0.262 0.262
Sb: 0.738 0.738 0.738

Properties
The calculation puts the uncorrected energy at -23.97 eV/cell. The value obtained for the density of states at the Fermi level is 2.50 states/eV per cell.



No. 4
The following is a PBE calculation of an optimized crystal structure of SrCrNi, from the Alexandria database.

Lattice parameters (Å, degrees): 3.980 5.811 6.233 96.08 107.21 103.90
Fractional coordinates of all 6 atoms:
Sr: 0.000 0.000 0.000
Sr: 0.469 0.416 0.688
Cr: 0.022 0.791 0.456
Cr: 0.689 0.970 0.418
Ni: 0.309 0.575 0.216
Ni: 0.762 0.356 0.275

Properties
The value obtained for the density of states at the Fermi level is 3.27 states/eV per cell. The polymorph energy (0 for the lowest one) comes out at 104 meV/atom. As for the energy of formation: 0.43 eV per atom.



No. 5
The following is a PBE calculation of an optimized crystal structure of ScVB2, from the Alexandria database.

Lattice parameters (Å, degrees): 3.786 3.786 14.883 90.00 90.00 90.00
Fractional coordinates of all 16 atoms:
Sc: 0.000 0.250 0.375
Sc: 0.000 0.750 0.625
Sc: 0.500 0.250 0.125
Sc: 0.500 0.750 0.875
V: 0.000 0.250 0.875
V: 0.000 0.750 0.125
V: 0.500 0.250 0.625
V: 0.500 0.750 0.375
B: 0.000 0.000 0.000
B: 0.000 0.500 0.000
B: 0.250 0.250 0.750
B: 0.250 0.750 0.250
B: 0.500 0.000 0.500
B: 0.500 0.500 0.500
B: 0.750 0.250 0.750
B: 0.750 0.750 0.250

Properties
The value obtained for the density of states at the Fermi level is 13.84 states/eV per cell. The polymorph energy (0 for the lowest one) comes out at 530 meV/atom. As for the energy of formation: 0.39 eV per atom.



No. 6
The following is a PBE calculation of an optimized crystal structure of ErHfOsRu, from the Alexandria database.

Lattice parameters (Å, degrees): 3.292 3.292 6.686 90.00 90.00 90.00
Fractional coordinates of all 4 atoms:
Er: 0.000 0.000 0.000
Hf: 0.000 0.000 0.500
Os: 0.500 0.500 0.732
Ru: 0.500 0.500 0.265

Properties
The value obtained for the density of states at the Fermi level is 2.79 states/eV per cell. The polymorph energy (0 for the lowest one) comes out at 0 meV/atom. As for the energy of formation: -0.54 eV per atom.